Material: Y6Bi2TeAs3
Method: DFT, GGA-PBE
State: relaxed

**Volume**: 27.73 Å³/atom
**Uncorrected energy**: -6.62 eV/atom

Geometry as CIF:
```
data_Y6Bi2TeAs3
_chemical_formula_sum 'Y12 Bi4 Te2 As6'
_symmetry_space_group_name_H-M 'C 1 2/m 1'
_symmetry_Int_Tables_number 12
_cell_length_a 18.7263
_cell_length_b 4.2547
_cell_length_c 8.6211
_cell_angle_alpha 90.00
_cell_angle_beta 104.31
_cell_angle_gamma 90.00
loop_
_symmetry_equiv_pos_as_xyz
'x,y,z'
'-x,-y,-z'
'-x,y,-z'
'x,-y,z'
'x+1/2,y+1/2,z'
'-x+1/2,-y+1/2,-z'
'-x+1/2,y+1/2,-z'
'x+1/2,-y+1/2,z'
loop_
_atom_site_label
_atom_site_fract_x
_atom_site_fract_y
_atom_site_fract_z
_atom_site_occupancy
Y1 0.0053 0.0000 0.2338 1
Y2 0.1613 0.5000 0.0965 1
Y3 0.1725 0.5000 0.5700 1
Bi1 0.1663 0.0000 0.8322 1
Te1 0.0000 0.5000 0.5000 1
As1 0.0000 0.5000 0.0000 1
As2 0.1658 0.0000 0.3339 1
```



Material: Y4BiTe2As
Method: DFT, GGA-PBE
State: relaxed

**Volume**: 28.96 Å³/atom
**Uncorrected energy**: -6.38 eV/atom

Geometry as CIF:
```
data_Y4BiTe2As
_chemical_formula_sum 'Y4 Bi1 Te2 As1'
_symmetry_space_group_name_H-M 'P 1 2/m 1'
_symmetry_Int_Tables_number 10
_cell_length_a 7.5273
_cell_length_b 4.3143
_cell_length_c 7.5557
_cell_angle_alpha 90.00
_cell_angle_beta 109.21
_cell_angle_gamma 90.00
loop_
_symmetry_equiv_pos_as_xyz
'x,y,z'
'-x,-y,-z'
'-x,y,-z'
'x,-y,z'
loop_
_atom_site_label
_atom_site_fract_x
_atom_site_fract_y
_atom_site_fract_z
_atom_site_occupancy
Y1 0.2249 0.0000 0.2254 1
Y2 0.2354 0.5000 0.7639 1
Bi1 0.0000 0.0000 0.5000 1
Te1 0.5000 0.0000 0.0000 1
Te2 0.5000 0.5000 0.5000 1
As1 0.0000 0.5000 0.0000 1
```



Material: Y6Bi3TeAs2
Method: DFT, GGA-PBE
State: relaxed

**Volume**: 28.94 Å³/atom
**Uncorrected energy**: -6.43 eV/atom

Geometry as CIF:
```
data_Y6Bi3TeAs2
_chemical_formula_sum 'Y12 Bi6 Te2 As4'
_symmetry_space_group_name_H-M 'C 1 2/m 1'
_symmetry_Int_Tables_number 12
_cell_length_a 18.9314
_cell_length_b 4.3239
_cell_length_c 8.7254
_cell_angle_alpha 90.00
_cell_angle_beta 103.51
_cell_angle_gamma 90.00
loop_
_symmetry_equiv_pos_as_xyz
'x,y,z'
'-x,-y,-z'
'-x,y,-z'
'x,-y,z'
'x+1/2,y+1/2,z'
'-x+1/2,-y+1/2,-z'
'-x+1/2,y+1/2,-z'
'x+1/2,-y+1/2,z'
loop_
_atom_site_label
_atom_site_fract_x
_atom_site_fract_y
_atom_site_fract_z
_atom_site_occupancy
Y1 0.0096 0.0000 0.2570 1
Y2 0.1711 0.5000 0.1034 1
Y3 0.1726 0.5000 0.5705 1
Bi1 0.0000 0.5000 0.5000 1
Bi2 0.1617 0.0000 0.8323 1
Te1 0.0000 0.5000 0.0000 1
As1 0.1684 0.0000 0.3344 1
```



Material: Th4BiAs2
Method: DFT, GGA-PBE
State: relaxed

**Volume**: 30.71 Å³/atom
**ΔH_f (0 K)**: -0.85 eV/atom
**Uncorrected energy**: -6.97 eV/atom

Geometry as CIF:
```
data_Th4BiAs2
_chemical_formula_sum 'Th16 Bi4 As8'
_symmetry_space_group_name_H-M 'C m c m'
_symmetry_Int_Tables_number 63
_symmetry_space_group_name_Hall '-C 2c 2'
_cell_length_a 4.2326
_cell_length_b 13.9365
_cell_length_c 14.5758
_cell_angle_alpha 90.00
_cell_angle_beta 90.00
_cell_angle_gamma 90.00
loop_
_atom_site_label
_atom_site_fract_x
_atom_site_fract_y
_atom_site_fract_z
_atom_site_occupancy
Th1 0.0000 0.0000 0.0000 1
Th2 0.0000 0.2722 0.1194 1
Th3 0.0000 0.4224 0.7500 1
Bi1 0.0000 0.1001 0.7500 1
As1 0.0000 0.3634 0.5594 1
```



Material: Th4Bi3As
Method: DFT, GGA-PBE
State: relaxed

**Volume**: 32.60 Å³/atom
**ΔH_f (0 K)**: -0.76 eV/atom
**Uncorrected energy**: -6.51 eV/atom

Geometry as CIF:
```
data_Th4Bi3As
_chemical_formula_sum 'Th8 Bi6 As2'
_symmetry_space_group_name_H-M 'P 1 2/c 1'
_symmetry_Int_Tables_number 13
_cell_length_a 7.8696
_cell_length_b 9.0223
_cell_length_c 7.7809
_cell_angle_alpha 90.00
_cell_angle_beta 109.26
_cell_angle_gamma 90.00
loop_
_symmetry_equiv_pos_as_xyz
'x,y,z'
'-x,-y,-z'
'-x,y,-z+1/2'
'x,-y,z+1/2'
loop_
_atom_site_label
_atom_site_fract_x
_atom_site_fract_y
_atom_site_fract_z
_atom_site_occupancy
Th1 0.2203 0.1116 0.9998 1
Th2 0.2350 0.3551 0.4827 1
Bi1 0.0000 0.3785 0.7500 1
Bi2 0.5000 0.1226 0.7500 1
Bi3 0.5000 0.3780 0.2500 1
As1 0.0000 0.1224 0.2500 1
```



Material: Th5Bi4As
Method: DFT, GGA-PBE
State: relaxed

**Volume**: 32.80 Å³/atom
**ΔH_f (0 K)**: -0.70 eV/atom
**Uncorrected energy**: -6.43 eV/atom

Geometry as CIF:
```
data_Th5Bi4As
_chemical_formula_sum 'Th10 Bi8 As2'
_symmetry_space_group_name_H-M 'I 4/m m m'
_symmetry_Int_Tables_number 139
_symmetry_space_group_name_Hall '-I 4 2'
_cell_length_a 4.4899
_cell_length_b 4.4899
_cell_length_c 32.5460
_cell_angle_alpha 90.00
_cell_angle_beta 90.00
_cell_angle_gamma 90.00
loop_
_atom_site_label
_atom_site_fract_x
_atom_site_fract_y
_atom_site_fract_z
_atom_site_occupancy
Th1 0.0000 0.0000 0.0000 1
Th2 0.0000 0.0000 0.2083 1
Th3 0.0000 0.0000 0.4112 1
Bi1 0.0000 0.0000 0.1034 1
Bi2 0.0000 0.0000 0.3092 1
As1 0.0000 0.0000 0.5000 1
```



Material: Th3BiAs2
Method: DFT, GGA-PBE
State: relaxed

**Volume**: 28.79 Å³/atom
**ΔH_f (0 K)**: -0.80 eV/atom
**Uncorrected energy**: -6.71 eV/atom

Geometry as CIF:
```
data_Th3BiAs2
_chemical_formula_sum 'Th12 Bi4 As8'
_symmetry_space_group_name_H-M 'C m c m'
_symmetry_Int_Tables_number 63
_symmetry_space_group_name_Hall '-C 2c 2'
_cell_length_a 5.1137
_cell_length_b 13.2116
_cell_length_c 10.2262
_cell_angle_alpha 90.00
_cell_angle_beta 90.00
_cell_angle_gamma 90.00
loop_
_atom_site_label
_atom_site_fract_x
_atom_site_fract_y
_atom_site_fract_z
_atom_site_occupancy
Th1 0.0000 0.1122 0.2500 1
Th2 0.0000 0.3722 0.0407 1
Bi1 0.0000 0.2114 0.7500 1
As1 0.0000 0.0000 0.0000 1
As2 0.0000 0.4777 0.7500 1
```



Material: ThBiAs2
Method: DFT, GGA-PBE
State: relaxed

**Volume**: 24.42 Å³/atom
**ΔH_f (0 K)**: -0.61 eV/atom
**Uncorrected energy**: -5.76 eV/atom

Geometry as CIF:
```
data_ThBiAs2
_chemical_formula_sum 'Th1 Bi1 As2'
_symmetry_space_group_name_H-M 'P 4/m m m'
_symmetry_Int_Tables_number 123
_symmetry_space_group_name_Hall '-P 4 2'
_cell_length_a 4.9745
_cell_length_b 4.9745
_cell_length_c 3.9481
_cell_angle_alpha 90.00
_cell_angle_beta 90.00
_cell_angle_gamma 90.00
loop_
_atom_site_label
_atom_site_fract_x
_atom_site_fract_y
_atom_site_fract_z
_atom_site_occupancy
Th1 0.0000 0.0000 0.0000 1
Bi1 0.5000 0.5000 0.0000 1
As1 0.0000 0.5000 0.5000 1
```



Material: ThBiAs2
Method: DFT, GGA-PBE
State: relaxed

**Volume**: 34.83 Å³/atom
**ΔH_f (0 K)**: -0.27 eV/atom
**Uncorrected energy**: -5.42 eV/atom

Geometry as CIF:
```
data_ThBiAs2
_chemical_formula_sum 'Th3 Bi3 As6'
_symmetry_space_group_name_H-M 'R -3 m'
_symmetry_Int_Tables_number 166
_symmetry_space_group_name_Hall '-R 3 2"'
_cell_length_a 4.2757
_cell_length_b 4.2757
_cell_length_c 26.3950
_cell_angle_alpha 90.00
_cell_angle_beta 90.00
_cell_angle_gamma 120.00
loop_
_atom_site_label
_atom_site_fract_x
_atom_site_fract_y
_atom_site_fract_z
_atom_site_occupancy
Th1 0.0000 0.0000 0.0000 1
Bi1 0.0000 0.0000 0.5000 1
As1 0.0000 0.0000 0.3943 1
```



Material: Th6BiAs5
Method: DFT, GGA-PBE
State: relaxed

**Volume**: 28.32 Å³/atom
**ΔH_f (0 K)**: -1.24 eV/atom
**Uncorrected energy**: -7.21 eV/atom

Geometry as CIF:
```
data_Th6BiAs5
_chemical_formula_sum 'Th12 Bi2 As10'
_symmetry_space_group_name_H-M 'C 1 2/m 1'
_symmetry_Int_Tables_number 12
_cell_length_a 7.4584
_cell_length_b 12.9416
_cell_length_c 7.4733
_cell_angle_alpha 90.00
_cell_angle_beta 109.57
_cell_angle_gamma 90.00
loop_
_symmetry_equiv_pos_as_xyz
'x,y,z'
'-x,-y,-z'
'-x,y,-z'
'x,-y,z'
'x+1/2,y+1/2,z'
'-x+1/2,-y+1/2,-z'
'-x+1/2,y+1/2,-z'
'x+1/2,-y+1/2,z'
loop_
_atom_site_label
_atom_site_fract_x
_atom_site_fract_y
_atom_site_fract_z
_atom_site_occupancy
Th1 0.2366 0.0000 0.2584 1
Th2 0.2379 0.1748 0.7377 1
Bi1 0.0000 0.5000 0.0000 1
As1 0.0000 0.0000 0.5000 1
As2 0.0000 0.1677 0.0000 1
As3 0.0000 0.3404 0.5000 1
```



Material: TmTh2Bi2As2
Method: DFT, GGA-PBE
State: relaxed

**Volume**: 30.99 Å³/atom
**ΔH_f (0 K)**: -0.65 eV/atom
**Uncorrected energy**: -5.85 eV/atom

Geometry as CIF:
```
data_TmTh2Bi2As2
_chemical_formula_sum 'Tm2 Th4 Bi4 As4'
_symmetry_space_group_name_H-M 'I 4/m m m'
_symmetry_Int_Tables_number 139
_symmetry_space_group_name_Hall '-I 4 2'
_cell_length_a 5.2029
_cell_length_b 5.2029
_cell_length_c 16.0284
_cell_angle_alpha 90.00
_cell_angle_beta 90.00
_cell_angle_gamma 90.00
loop_
_atom_site_label
_atom_site_fract_x
_atom_site_fract_y
_atom_site_fract_z
_atom_site_occupancy
Tm1 0.0000 0.0000 0.0000 1
Th1 0.0000 0.0000 0.3913 1
Bi1 0.0000 0.0000 0.1940 1
As1 0.0000 0.5000 0.0000 1
```



Material: Ti5Bi2As2
Method: DFT, GGA-PBE
State: relaxed

**Volume**: 19.24 Å³/atom
**ΔH_f (0 K)**: -0.53 eV/atom
**Uncorrected energy**: -6.81 eV/atom

Geometry as CIF:
```
data_Ti5Bi2As2
_chemical_formula_sum 'Ti20 Bi8 As8'
_symmetry_space_group_name_H-M 'C m c e'
_symmetry_Int_Tables_number 64
_symmetry_space_group_name_Hall '-C 2ac 2'
_cell_length_a 13.9671
_cell_length_b 7.0525
_cell_length_c 7.0299
_cell_angle_alpha 90.00
_cell_angle_beta 90.00
_cell_angle_gamma 90.00
loop_
_atom_site_label
_atom_site_fract_x
_atom_site_fract_y
_atom_site_fract_z
_atom_site_occupancy
Ti1 0.0000 0.0000 0.0000 1
Ti2 0.1144 0.1480 0.3425 1
Bi1 0.2073 0.0000 0.0000 1
As1 0.0000 0.1470 0.6414 1
```